11
Lattice="-1.903 -5.162 0.042 3.706 1.591 3.097 -5.680 2.111 2.116" Properties=species:S:1:pos:R:3 comment="PBE-GGA AlAg2As2O6, optimized geometry" magnetic_moment_mub_per_cell=0.00 sg="No. 12" volume_a3_per_atom=12.55 e_form_raw_mev_per_atom=-1164 pbc="T T T"
Al -3.791 -1.525 1.079
Ag -0.578 -2.707 1.394
Ag -3.299 1.247 3.862
As -2.917 -1.822 4.247
As -0.959 0.362 1.008
O -2.613 -1.948 2.527
O 1.442 0.966 3.344
O -4.365 0.163 1.890
O -5.319 -2.426 1.911
O 0.488 -1.623 3.365
O -1.264 0.488 2.728

8
Lattice="4.607 -0.809 0.428 -1.182 5.878 -1.475 -1.155 -3.689 5.553" Properties=species:S:1:pos:R:3 comment="PBE-GGA AlAg2AsO4, optimized geometry" magnetic_moment_mub_per_cell=0.00 sg="No. 1" volume_a3_per_atom=15.42 e_form_raw_mev_per_atom=-1281 pbc="T T T"
Al 2.683 -1.484 4.957
Ag 3.268 -0.671 0.956
Ag 0.644 -0.271 2.572
As 1.223 2.073 1.323
O 2.240 -0.012 4.175
O 2.521 1.367 0.304
O 0.519 3.285 0.196
O 3.359 -2.662 3.782

7
Lattice="-0.641 4.669 2.283 -4.555 0.603 -2.513 0.699 -4.376 3.139" Properties=species:S:1:pos:R:3 comment="PBE-GGA AlAgAsO4, optimized geometry" magnetic_moment_mub_per_cell=0.00 sg="No. 82" volume_a3_per_atom=15.57 e_form_raw_mev_per_atom=-1405 pbc="T T T"
Al -3.227 -0.568 0.256
Ag 0.000 0.000 0.000
As -2.598 2.636 -0.115
O -0.166 -2.145 2.592
O -3.565 1.094 -0.321
O -2.695 -0.475 1.965
O -2.568 3.320 1.585

20
Lattice="-2.336 1.360 -5.211 -1.286 -6.281 -3.059 -6.460 2.511 1.555" Properties=species:S:1:pos:R:3 comment="PBE-GGA Al2AgAsO6, optimized geometry" magnetic_moment_mub_per_cell=0.00 sg="No. 15" volume_a3_per_atom=13.14 e_form_raw_mev_per_atom=-1897 pbc="T T T"
Al -5.268 -2.541 -3.060
Al -2.886 -1.840 -1.727
Al -4.815 0.132 -3.654
Al -7.196 -0.569 -4.988
Ag -2.396 -5.048 -3.893
Ag -7.687 2.638 -2.822
As -6.021 1.113 -0.660
As -4.061 -3.522 -6.055
O -6.622 -3.865 -2.811
O -1.245 -1.004 -2.232
O -3.461 1.455 -3.904
O -8.837 -1.405 -4.483
O -4.543 -3.561 -4.419
O -2.044 -3.483 -1.766
O -5.539 1.152 -2.296
O -8.038 1.074 -4.949
O -4.646 -2.700 -1.375
O -3.769 -1.237 -3.179
O -5.436 0.291 -5.340
O -6.313 -1.172 -3.536

20
Lattice="-5.057 4.417 -2.081 -6.907 -3.100 -0.983 -3.592 3.782 5.574" Properties=species:S:1:pos:R:3 comment="PBE-GGA AlAgAs2O6, optimized geometry" magnetic_moment_mub_per_cell=0.00 sg="No. 15" volume_a3_per_atom=16.59 e_form_raw_mev_per_atom=-1338 pbc="T T T"
Al -5.588 3.368 3.607
Al -9.968 1.731 -1.097
Ag -7.210 0.000 0.398
Ag -8.346 5.099 2.112
As -9.540 1.679 2.191
As -3.860 0.438 0.623
As -6.016 3.420 0.320
As -11.695 4.661 1.888
O -3.865 3.703 3.780
O -6.712 4.276 4.618
O -11.691 1.396 -1.270
O -8.843 0.823 -2.107
O -9.330 1.202 0.482
O -4.972 -0.959 0.547
O -6.225 3.897 2.029
O -10.583 6.058 1.964
O -7.926 0.802 2.772
O -5.270 1.739 0.446
O -7.630 4.297 -0.262
O -10.286 3.360 2.065

12
Lattice="5.621 0.253 0.000 -2.266 5.150 0.000 -1.677 -2.702 4.642" Properties=species:S:1:pos:R:3 comment="PBE-GGA AlAgAs2O8, optimized geometry" magnetic_moment_mub_per_cell=0.00 sg="No. 119" volume_a3_per_atom=11.42 e_form_raw_mev_per_atom=-1003 pbc="T T T"
Al -1.133 2.575 2.321
Ag 0.000 0.000 0.000
As 2.811 0.127 2.321
As 1.677 2.702 0.000
O 1.433 -0.511 1.486
O 0.296 2.270 0.946
O 0.226 -1.430 3.696
O 2.851 -1.391 3.155
O 3.059 3.134 0.946
O 4.189 0.764 1.486
O 2.771 1.644 3.155
O -0.226 1.430 3.696

Number 1: calculated density 5.88 g cm⁻³. Number 2: calculated density 5.14 g cm⁻³. Number 3: calculated density 4.17 g cm⁻³. Number 4: calculated density 4.21 g cm⁻³. Number 5: calculated density 3.81 g cm⁻³. Number 6: calculated density 5.00 g cm⁻³.